No. 1
The following is a DFT calculation (GGA-PBE) of crystalline Ce2PrPb2 at its relaxed geometry.

## Properties
Calculated formation energy: -0.322 eV per atom
DOS(E_F): 9.75 states/eV/f.u.
ΔE to the lowest computed polymorph: 0.00 eV/f.u.

Cell and atoms, written as CIF:
```
data_Ce2PrPb2
_chemical_formula_sum 'Ce4 Pr2 Pb4'
_symmetry_space_group_name_H-M 'C 1 2/m 1'
_symmetry_Int_Tables_number 12
_symmetry_space_group_name_Hall '-C 2y'
_cell_length_a 6.248
_cell_length_b 6.329
_cell_length_c 8.282
_cell_angle_alpha 90.00
_cell_angle_beta 110.98
_cell_angle_gamma 90.00
loop_
_atom_site_label
_atom_site_fract_x
_atom_site_fract_y
_atom_site_fract_z
Ce1 0.000 0.220 0.000
Pr1 0.000 0.000 0.500
Pb1 0.080 0.500 0.694
```

No. 2
The following is a DFT calculation (GGA-PBE) of crystalline CePrPb at its relaxed geometry.

## Properties
Calculated formation energy: -0.158 eV per atom
DOS(E_F): 7.37 states/eV/f.u.
ΔE to the lowest computed polymorph: 0.79 eV/f.u.

Cell and atoms, written as CIF:
```
data_CePrPb
_chemical_formula_sum 'Ce1 Pr1 Pb1'
_symmetry_space_group_name_H-M 'P 3 m 1'
_symmetry_Int_Tables_number 156
_symmetry_space_group_name_Hall 'P 3 -2"'
_cell_length_a 5.4542
_cell_length_b 5.4542
_cell_length_c 3.6797
_cell_angle_alpha 90.00
_cell_angle_beta 90.00
_cell_angle_gamma 120.00
loop_
_atom_site_label
_atom_site_fract_x
_atom_site_fract_y
_atom_site_fract_z
Ce1 0.0000 0.0000 0.0000
Pr1 0.6667 0.3333 0.4140
Pb1 0.3333 0.6667 0.6982
```

No. 3
The following is a DFT calculation (GGA-PBE) of crystalline CePrPb at its relaxed geometry.

## Properties
Calculated formation energy: -0.312 eV per atom
DOS(E_F): 7.46 states/eV/f.u.
ΔE to the lowest computed polymorph: 0.33 eV/f.u.

Cell and atoms, written as CIF:
```
data_CePrPb
_chemical_formula_sum 'Ce2 Pr2 Pb2'
_symmetry_space_group_name_H-M 'P 4/n m m'
_symmetry_Int_Tables_number 129
_cell_length_a 4.265
_cell_length_b 4.265
_cell_length_c 9.987
_cell_angle_alpha 90.00
_cell_angle_beta 90.00
_cell_angle_gamma 90.00
loop_
_symmetry_equiv_pos_as_xyz
'x,y,z'
'-x,-y,-z'
'-y+1/2,x,z'
'y+1/2,-x,-z'
'-x+1/2,-y+1/2,z'
'x+1/2,y+1/2,-z'
'y,-x+1/2,z'
'-y,x+1/2,-z'
'x+1/2,-y,-z'
'-x+1/2,y,z'
'-y,-x,-z'
'y,x,z'
'-x,y+1/2,-z'
'x,-y+1/2,z'
'y+1/2,x+1/2,-z'
'-y+1/2,-x+1/2,z'
loop_
_atom_site_label
_atom_site_fract_x
_atom_site_fract_y
_atom_site_fract_z
Ce1 0.250 0.250 0.091
Pr1 0.250 0.250 0.397
Pb1 0.250 0.250 0.753
```

No. 4
The following is a DFT calculation (GGA-PBE) of crystalline CePr5Pb6 at its relaxed geometry.

## Properties
Calculated formation energy: -0.500 eV per atom
DOS(E_F): 16.53 states/eV/f.u.
ΔE to the lowest computed polymorph: 0.03 eV/f.u.

Cell and atoms, written as CIF:
```
data_CePr5Pb6
_chemical_formula_sum 'Ce2 Pr10 Pb12'
_symmetry_space_group_name_H-M 'I m m m'
_symmetry_Int_Tables_number 71
_symmetry_space_group_name_Hall '-I 2 2'
_cell_length_a 5.136
_cell_length_b 9.254
_cell_length_c 15.494
_cell_angle_alpha 90.00
_cell_angle_beta 90.00
_cell_angle_gamma 90.00
loop_
_atom_site_label
_atom_site_fract_x
_atom_site_fract_y
_atom_site_fract_z
Ce1 0.000 0.000 0.000
Pr1 0.000 0.000 0.334
Pr2 0.000 0.500 0.000
Pr3 0.000 0.500 0.333
Pb1 0.000 0.249 0.166
Pb2 0.000 0.251 0.500
```

No. 5
The following is a DFT calculation (GGA-PBE) of crystalline CePr2Pb9 at its relaxed geometry.

## Properties
Calculated formation energy: -0.372 eV per atom
DOS(E_F): 10.70 states/eV/f.u.

Cell and atoms, written as CIF:
```
data_CePr2Pb9
_chemical_formula_sum 'Ce1 Pr2 Pb9'
_symmetry_space_group_name_H-M 'P 4/m m m'
_symmetry_Int_Tables_number 123
_symmetry_space_group_name_Hall '-P 4 2'
_cell_length_a 4.936
_cell_length_b 4.936
_cell_length_c 14.843
_cell_angle_alpha 90.00
_cell_angle_beta 90.00
_cell_angle_gamma 90.00
loop_
_atom_site_label
_atom_site_fract_x
_atom_site_fract_y
_atom_site_fract_z
Ce1 0.000 0.000 0.000
Pr1 0.000 0.000 0.330
Pb1 0.000 0.500 0.164
Pb2 0.000 0.500 0.500
Pb3 0.500 0.500 0.000
Pb4 0.500 0.500 0.333
```

No. 6
The following is a DFT calculation (GGA-PBE) of crystalline Ce2PrPb3 at its relaxed geometry.

## Properties
Calculated formation energy: -0.440 eV per atom
DOS(E_F): 14.68 states/eV/f.u.
ΔE to the lowest computed polymorph: 0.00 eV/f.u.

Cell and atoms, written as CIF:
```
data_Ce2PrPb3
_chemical_formula_sum 'Ce8 Pr4 Pb12'
_symmetry_space_group_name_H-M 'C m m m'
_symmetry_Int_Tables_number 65
_symmetry_space_group_name_Hall '-C 2 2'
_cell_length_a 5.112
_cell_length_b 15.397
_cell_length_c 9.177
_cell_angle_alpha 90.00
_cell_angle_beta 90.00
_cell_angle_gamma 90.00
loop_
_atom_site_label
_atom_site_fract_x
_atom_site_fract_y
_atom_site_fract_z
Ce1 0.000 0.000 0.000
Ce2 0.000 0.000 0.500
Ce3 0.000 0.333 0.000
Pr1 0.000 0.334 0.500
Pb1 0.000 0.166 0.249
Pb2 0.000 0.500 0.249
```

No. 7
The following is a DFT calculation (GGA-PBE) of crystalline Ce2PrPb3 at its relaxed geometry.

## Properties
Calculated formation energy: -0.336 eV per atom
DOS(E_F): 10.37 states/eV/f.u.
ΔE to the lowest computed polymorph: 0.62 eV/f.u.

Cell and atoms, written as CIF:
```
data_Ce2PrPb3
_chemical_formula_sum 'Ce8 Pr4 Pb12'
_symmetry_space_group_name_H-M 'C 1 2/c 1'
_symmetry_Int_Tables_number 15
_symmetry_space_group_name_Hall '-C 2yc'
_cell_length_a 7.887
_cell_length_b 13.770
_cell_length_c 7.947
_cell_angle_alpha 90.00
_cell_angle_beta 109.66
_cell_angle_gamma 90.00
loop_
_atom_site_label
_atom_site_fract_x
_atom_site_fract_y
_atom_site_fract_z
Ce1 0.000 0.084 0.250
Ce2 0.000 0.254 0.750
Pr1 0.000 0.420 0.250
Pb1 0.239 0.086 0.996
Pb2 0.250 0.250 0.500
```

No. 8
The following is a DFT calculation (GGA-PBE) of crystalline Ce2Pr2Pb7 at its relaxed geometry.

## Properties
Calculated formation energy: -0.030 eV per atom
DOS(E_F): 17.83 states/eV/f.u.

Cell and atoms, written as CIF:
```
data_Ce2Pr2Pb7
_chemical_formula_sum 'Ce4 Pr4 Pb14'
_symmetry_space_group_name_H-M 'C m m m'
_symmetry_Int_Tables_number 65
_symmetry_space_group_name_Hall '-C 2 2'
_cell_length_a 9.545
_cell_length_b 11.341
_cell_length_c 7.298
_cell_angle_alpha 90.00
_cell_angle_beta 90.00
_cell_angle_gamma 90.00
loop_
_atom_site_label
_atom_site_fract_x
_atom_site_fract_y
_atom_site_fract_z
Ce1 0.000 0.219 0.000
Pr1 0.189 0.500 0.500
Pb1 0.000 0.000 0.291
Pb2 0.000 0.500 0.000
Pb3 0.250 0.250 0.286
```

No. 9
The following is a DFT calculation (GGA-PBE) of crystalline CePrPb at its relaxed geometry.

## Properties
Calculated formation energy: -0.291 eV per atom
DOS(E_F): 7.17 states/eV/f.u.
ΔE to the lowest computed polymorph: 0.39 eV/f.u.

Cell and atoms, written as CIF:
```
data_CePrPb
_chemical_formula_sum 'Ce2 Pr2 Pb2'
_symmetry_space_group_name_H-M 'I 4 m m'
_symmetry_Int_Tables_number 107
_symmetry_space_group_name_Hall 'I 4 -2'
_cell_length_a 4.296
_cell_length_b 4.296
_cell_length_c 9.885
_cell_angle_alpha 90.00
_cell_angle_beta 90.00
_cell_angle_gamma 90.00
loop_
_atom_site_label
_atom_site_fract_x
_atom_site_fract_y
_atom_site_fract_z
Ce1 0.000 0.000 0.000
Pr1 0.000 0.000 0.701
Pb1 0.000 0.000 0.352
```

No. 10
The following is a DFT calculation (GGA-PBE) of crystalline Ce3PrPb5 at its relaxed geometry.

## Properties
Calculated formation energy: -0.401 eV per atom
DOS(E_F): 20.87 states/eV/f.u.

Cell and atoms, written as CIF:
```
data_Ce3PrPb5
_chemical_formula_sum 'Ce6 Pr2 Pb10'
_symmetry_space_group_name_H-M 'P 63/m c m'
_symmetry_Int_Tables_number 193
_symmetry_space_group_name_Hall '-P 6c 2'
_cell_length_a 9.7277
_cell_length_b 9.7277
_cell_length_c 6.6813
_cell_angle_alpha 90.00
_cell_angle_beta 90.00
_cell_angle_gamma 120.00
loop_
_atom_site_label
_atom_site_fract_x
_atom_site_fract_y
_atom_site_fract_z
Ce1 0.0000 0.3804 0.2500
Pr1 0.0000 0.0000 0.0000
Pb1 0.0000 0.2920 0.7500
Pb2 0.3333 0.6667 0.0000
```

No. 11
The following is a DFT calculation (GGA-PBE) of crystalline CePr5Pb5 at its relaxed geometry.

## Properties
Calculated formation energy: -0.323 eV per atom
DOS(E_F): 13.95 states/eV/f.u.

Cell and atoms, written as CIF:
```
data_CePr5Pb5
_chemical_formula_sum 'Ce2 Pr10 Pb10'
_symmetry_space_group_name_H-M 'C 1 2/m 1'
_symmetry_Int_Tables_number 12
_symmetry_space_group_name_Hall '-C 2y'
_cell_length_a 14.647
_cell_length_b 6.476
_cell_length_c 9.009
_cell_angle_alpha 90.00
_cell_angle_beta 108.00
_cell_angle_gamma 90.00
loop_
_atom_site_label
_atom_site_fract_x
_atom_site_fract_y
_atom_site_fract_z
Ce1 0.000 0.000 0.000
Pr1 0.000 0.000 0.500
Pr2 0.168 0.500 0.833
Pr3 0.170 0.500 0.334
Pb1 0.000 0.500 0.000
Pb2 0.162 0.000 0.832
Pb3 0.163 0.000 0.331
```

No. 12
The following is a DFT calculation (GGA-PBE) of crystalline Ce2PrPb at its relaxed geometry.

## Properties
Calculated formation energy: -0.262 eV per atom
DOS(E_F): 11.19 states/eV/f.u.
ΔE to the lowest computed polymorph: 0.15 eV/f.u.

Cell and atoms, written as CIF:
```
data_Ce2PrPb
_chemical_formula_sum 'Ce2 Pr1 Pb1'
_symmetry_space_group_name_H-M 'P 4/m m m'
_symmetry_Int_Tables_number 123
_symmetry_space_group_name_Hall '-P 4 2'
_cell_length_a 4.808
_cell_length_b 4.808
_cell_length_c 5.110
_cell_angle_alpha 90.00
_cell_angle_beta 90.00
_cell_angle_gamma 90.00
loop_
_atom_site_label
_atom_site_fract_x
_atom_site_fract_y
_atom_site_fract_z
Ce1 0.000 0.500 0.000
Pr1 0.000 0.000 0.500
Pb1 0.500 0.500 0.500
```